Model w:
Entry from the Alexandria database: a relaxed structure of NbPdW3 (PBE-GGA).

Lattice parameters (Å, degrees): 4.6948 4.6948 4.6948 90.00 90.00 90.00
Closest atoms and distances in Å follow each position.
Sites, in units of the cell vectors:
Nb: 0.0000 0.0000 0.0000  12 W 3.32
Pd: 0.5000 0.5000 0.5000  6 W 2.35
W: 0.0000 0.5000 0.5000  2 Pd 2.35
W: 0.5000 0.0000 0.5000  2 Pd 2.35
W: 0.5000 0.5000 0.0000  2 Pd 2.35

=====

Model x:
Entry from the Alexandria database: a relaxed structure of NbPdW3 (PBE-GGA).

Lattice parameters (Å, degrees): 4.7285 4.7285 4.7285 90.00 90.00 90.00
Closest atoms and distances in Å follow each position.
Sites, in units of the cell vectors:
Nb: 0.0000 0.0000 0.0000  6 W 2.36
Pd: 0.5000 0.5000 0.5000  12 W 3.34
W: 0.0000 0.0000 0.5000  2 Nb 2.36
W: 0.0000 0.5000 0.0000  2 Nb 2.36
W: 0.5000 0.0000 0.0000  2 Nb 2.36

=====

Sorted by energy, starting with the most stable: model w, model x.

=====

Model w:
Entry from the Alexandria database: a relaxed structure of Nb3PdW (PBE-GGA).

Lattice parameters (Å, degrees): 4.7671 4.7671 4.7671 90.00 90.00 90.00
Closest atoms and distances in Å follow each position.
Sites, in units of the cell vectors:
Nb: 0.0000 0.0000 0.5000  2 Pd 2.38
Nb: 0.0000 0.5000 0.0000  2 Pd 2.38
Nb: 0.5000 0.0000 0.0000  2 Pd 2.38
Pd: 0.0000 0.0000 0.0000  6 Nb 2.38
W: 0.5000 0.5000 0.5000  12 Nb 3.37

=====

Model x:
Entry from the Alexandria database: a relaxed structure of Nb3PdW (PBE-GGA).

Lattice parameters (Å, degrees): 4.8486 4.8486 4.8486 90.00 90.00 90.00
Closest atoms and distances in Å follow each position.
Sites, in units of the cell vectors:
Nb: 0.0000 0.0000 0.5000  2 W 2.42
Nb: 0.0000 0.5000 0.0000  2 W 2.42
Nb: 0.5000 0.0000 0.0000  2 W 2.42
Pd: 0.5000 0.5000 0.5000  12 Nb 3.43
W: 0.0000 0.0000 0.0000  6 Nb 2.42

=====

Sorted by energy, starting with the most stable: model x, model w.

=====

Model w:
Entry from the Alexandria database: a relaxed structure of NbPdW (PBE-GGA).

Lattice parameters (Å, degrees): 5.0609 5.0609 5.0609 141.24 141.24 55.98
Closest atoms and distances in Å follow each position.
Sites, in units of the cell vectors:
Nb: 0.0000 0.0000 0.0000  5 W 2.76-3.07, 5 Pd 2.84-2.91
Pd: 0.3254 0.3254 0.0000  5 W 2.81-2.96, 5 Nb 2.84-2.91
W: 0.6566 0.6566 0.0000  5 Nb 2.76-3.07, 5 Pd 2.81-2.96

=====

Model x:
Entry from the Alexandria database: a relaxed structure of NbPdW (PBE-GGA).

Lattice parameters (Å, degrees): 3.2559 3.2559 9.3738 90.00 90.00 90.00
Closest atoms and distances in Å follow each position.
Sites, in units of the cell vectors:
Nb: 0.2500 0.2500 0.2399  4 Pd 2.71, 4 W 2.85
Nb: 0.7500 0.7500 0.7601  4 Pd 2.71, 4 W 2.85
Pd: 0.2500 0.2500 0.9126  4 Nb 2.71, 4 Pd 2.83
Pd: 0.7500 0.7500 0.0874  4 Nb 2.71, 4 Pd 2.83
W: 0.2500 0.2500 0.5811  4 W 2.76, 4 Nb 2.85
W: 0.7500 0.7500 0.4189  4 W 2.76, 4 Nb 2.85

=====

Sorted by energy, starting with the most stable: model x, model w.

=====

Model w:
Entry from the Alexandria database: a relaxed structure of YNb2Pd (PBE-GGA).

Lattice parameters (Å, degrees): 4.7573 4.7573 4.7573 60.00 60.00 60.00
Closest atoms and distances in Å follow each position.
Sites, in units of the cell vectors:
Y: 0.0000 0.0000 0.0000  8 Nb 2.91
Nb: 0.2500 0.2500 0.2500  4 Pd 2.91, 4 Y 2.91
Nb: 0.7500 0.7500 0.7500  4 Pd 2.91, 4 Y 2.91
Pd: 0.5000 0.5000 0.5000  8 Nb 2.91

=====

Model x:
Entry from the Alexandria database: a relaxed structure of YNb2Pd (PBE-GGA).

Lattice parameters (Å, degrees): 11.3196 11.3196 11.3196 160.14 160.14 28.23
Closest atoms and distances in Å follow each position.
Sites, in units of the cell vectors:
Y: 0.0000 0.0000 0.0000  4 Pd 2.76, 4 Nb 3.08
Y: 0.7500 0.2500 0.5000  4 Pd 2.76, 4 Nb 3.08
Nb: 0.1330 0.6250 0.0080  4 Nb 2.72-2.80
Nb: 0.3750 0.3830 0.5080  4 Nb 2.72-2.80
Nb: 0.6170 0.1250 0.9920  4 Nb 2.72-2.80
Nb: 0.8750 0.8670 0.4920  4 Nb 2.72-2.80
Pd: 0.2500 0.7500 0.5000  4 Y 2.76, 4 Nb 3.06
Pd: 0.5000 0.5000 0.0000  4 Y 2.76, 4 Nb 3.06

=====

Sorted by energy, starting with the most stable: model x, model w.

=====

Model w:
Entry from the Alexandria database: a relaxed structure of NbZnPd5 (PBE-GGA).

Lattice parameters (Å, degrees): 4.0162 4.0162 7.0038 90.00 90.00 90.00
Closest atoms and distances in Å follow each position.
Sites, in units of the cell vectors:
Nb: 0.0000 0.0000 0.0000  12 Pd 2.77-2.84
Zn: 0.5000 0.5000 0.5000  8 Pd 2.56
Pd: 0.0000 0.5000 0.2724  2 Zn 2.56, 2 Nb 2.77, 6 Pd 2.77-2.84
Pd: 0.0000 0.5000 0.7276  2 Zn 2.56, 2 Nb 2.77, 6 Pd 2.77-2.84
Pd: 0.5000 0.0000 0.2724  2 Zn 2.56, 2 Nb 2.77, 6 Pd 2.77-2.84
Pd: 0.5000 0.0000 0.7276  2 Zn 2.56, 2 Nb 2.77, 6 Pd 2.77-2.84
Pd: 0.5000 0.5000 0.0000  8 Pd 2.77, 4 Nb 2.84

=====

Model x:
Entry from the Alexandria database: a relaxed structure of NbZnPd5 (PBE-GGA).

Lattice parameters (Å, degrees): 7.1547 7.1547 6.4973 114.79 114.79 100.34
Closest atoms and distances in Å follow each position.
Sites, in units of the cell vectors:
Nb: 0.0357 0.9643 0.7500  9 Pd 2.57-2.78
Nb: 0.9643 0.0357 0.2500  9 Pd 2.57-2.78
Zn: 0.5000 0.5000 0.0000  4 Pd 2.48-2.53
Zn: 0.5000 0.5000 0.5000  4 Pd 2.48-2.53
Pd: 0.0689 0.3323 0.7262  1 Zn 2.53, 2 Nb 2.57-2.68, 3 Pd 2.66-2.79
Pd: 0.0849 0.3505 0.1695  1 Zn 2.48, 2 Nb 2.60-2.78, 1 Pd 2.66
Pd: 0.2864 0.7136 0.7500  1 Nb 2.75, 8 Pd 2.79-2.99, 2 Zn 2.85
Pd: 0.3323 0.0689 0.2262  1 Zn 2.53, 2 Nb 2.57-2.68, 3 Pd 2.66-2.79
Pd: 0.3505 0.0849 0.6695  1 Zn 2.48, 2 Nb 2.60-2.78, 1 Pd 2.66
Pd: 0.6495 0.9151 0.3305  1 Zn 2.48, 2 Nb 2.60-2.78, 1 Pd 2.66
Pd: 0.6677 0.9311 0.7738  1 Zn 2.53, 2 Nb 2.57-2.68, 3 Pd 2.66-2.79
Pd: 0.7136 0.2864 0.2500  1 Nb 2.75, 8 Pd 2.79-2.99, 2 Zn 2.85
Pd: 0.9151 0.6495 0.8305  1 Zn 2.48, 2 Nb 2.60-2.78, 1 Pd 2.66
Pd: 0.9311 0.6677 0.2738  1 Zn 2.53, 2 Nb 2.57-2.68, 3 Pd 2.66-2.79

=====

Sorted by energy, starting with the most stable: model w, model x.

=====

Model w:
Entry from the Alexandria database: a relaxed structure of Nb2ZnPd2 (PBE-GGA).

Lattice parameters (Å, degrees): 7.7313 7.7313 2.8947 90.00 90.00 90.00
Closest atoms and distances in Å follow each position.
Sites, in units of the cell vectors:
Nb: 0.1730 0.3270 0.0000  6 Pd 2.65-2.74, 2 Nb 2.89
Nb: 0.3270 0.8270 0.0000  6 Pd 2.65-2.74, 2 Nb 2.89
Nb: 0.6730 0.1730 0.0000  6 Pd 2.65-2.74, 2 Nb 2.89
Nb: 0.8270 0.6730 0.0000  6 Pd 2.65-2.74, 2 Nb 2.89
Zn: 0.0000 0.0000 0.5000  2 Zn 2.89, 4 Pd 3.06, 8 Nb 3.21
Zn: 0.5000 0.5000 0.5000  2 Zn 2.89, 4 Pd 3.06, 8 Nb 3.21
Pd: 0.1240 0.6240 0.5000  6 Nb 2.65-2.74, 3 Pd 2.71-2.89
Pd: 0.3760 0.1240 0.5000  6 Nb 2.65-2.74, 3 Pd 2.71-2.89
Pd: 0.6240 0.8760 0.5000  6 Nb 2.65-2.74, 3 Pd 2.71-2.89
Pd: 0.8760 0.3760 0.5000  6 Nb 2.65-2.74, 3 Pd 2.71-2.89

=====

Model x:
Entry from the Alexandria database: a relaxed structure of Nb2ZnPd2 (PBE-GGA).

Lattice parameters (Å, degrees): 7.8769 7.8769 2.8522 90.00 90.00 90.00
Closest atoms and distances in Å follow each position.
Sites, in units of the cell vectors:
Nb: 0.1705 0.3295 0.0000  6 Pd 2.69-2.75, 2 Nb 2.85, 2 Zn 2.92
Nb: 0.3295 0.8295 0.0000  6 Pd 2.69-2.75, 2 Nb 2.85, 2 Zn 2.92
Nb: 0.6705 0.1705 0.0000  6 Pd 2.69-2.75, 2 Nb 2.85, 2 Zn 2.92
Nb: 0.8295 0.6705 0.0000  6 Pd 2.69-2.75, 2 Nb 2.85, 2 Zn 2.92
Zn: 0.0000 0.0000 0.0000  2 Zn 2.85, 4 Nb 2.92
Zn: 0.5000 0.5000 0.0000  2 Zn 2.85, 4 Nb 2.92
Pd: 0.1250 0.6250 0.5000  6 Nb 2.69-2.75, 3 Pd 2.79-2.85
Pd: 0.3750 0.1250 0.5000  6 Nb 2.69-2.75, 3 Pd 2.79-2.85
Pd: 0.6250 0.8750 0.5000  6 Nb 2.69-2.75, 3 Pd 2.79-2.85
Pd: 0.8750 0.3750 0.5000  6 Nb 2.69-2.75, 3 Pd 2.79-2.85

=====

Sorted by energy, starting with the most stable: model w, model x.

=====

Model w:
Entry from the Alexandria database: a relaxed structure of Zr2NbPd (PBE-GGA).

Lattice parameters (Å, degrees): 4.7515 4.7515 3.4349 90.00 90.00 90.00
Closest atoms and distances in Å follow each position.
Sites, in units of the cell vectors:
Zr: 0.0000 0.5000 0.0000  4 Nb 2.93, 4 Pd 2.93
Zr: 0.5000 0.0000 0.0000  4 Nb 2.93, 4 Pd 2.93
Nb: 0.0000 0.0000 0.5000  8 Zr 2.93
Pd: 0.5000 0.5000 0.5000  8 Zr 2.93

=====

Model x:
Entry from the Alexandria database: a relaxed structure of Zr2NbPd (PBE-GGA).

Lattice parameters (Å, degrees): 4.7701 4.7701 4.7701 60.00 60.00 60.00
Closest atoms and distances in Å follow each position.
Sites, in units of the cell vectors:
Zr: 0.2500 0.2500 0.2500  4 Nb 2.92, 4 Pd 2.92
Zr: 0.7500 0.7500 0.7500  4 Pd 2.92, 4 Nb 2.92
Nb: 0.0000 0.0000 0.0000  8 Zr 2.92
Pd: 0.5000 0.5000 0.5000  8 Zr 2.92

=====

Model y:
Entry from the Alexandria database: a relaxed structure of Zr2NbPd (PBE-GGA).

Lattice parameters (Å, degrees): 3.3857 3.3857 6.8379 90.00 90.00 90.00
Closest atoms and distances in Å follow each position.
Sites, in units of the cell vectors:
Zr: 0.0000 0.0000 0.2503  4 Pd 2.94, 4 Nb 2.94
Zr: 0.0000 0.0000 0.7497  4 Pd 2.94, 4 Nb 2.94
Nb: 0.5000 0.5000 0.0000  8 Zr 2.94
Pd: 0.5000 0.5000 0.5000  8 Zr 2.94

=====

Sorted by energy, starting with the most stable: model y, model w, model x.

=====

Model w:
Entry from the Alexandria database: a relaxed structure of ZrNbPd4 (PBE-GGA).

Lattice parameters (Å, degrees): 7.7952 2.8689 18.0694 90.00 90.00 90.00
Closest atoms and distances in Å follow each position.
Sites, in units of the cell vectors:
Zr: 0.2431 0.2500 0.0604  9 Pd 2.74-2.91, 2 Zr 2.87
Zr: 0.2569 0.7500 0.5604  9 Pd 2.74-2.91, 2 Zr 2.87
Zr: 0.7431 0.2500 0.4396  9 Pd 2.74-2.91, 2 Zr 2.87
Zr: 0.7569 0.7500 0.9396  9 Pd 2.74-2.91, 2 Zr 2.87
Nb: 0.2476 0.7500 0.3110  9 Pd 2.65-2.90, 2 Nb 2.87
Nb: 0.2524 0.2500 0.8110  9 Pd 2.65-2.90, 2 Nb 2.87
Nb: 0.7476 0.7500 0.1890  9 Pd 2.65-2.90, 2 Nb 2.87
Nb: 0.7524 0.2500 0.6890  9 Pd 2.65-2.90, 2 Nb 2.87
Pd: 0.0586 0.7500 0.4337  1 Nb 2.66, 3 Zr 2.76-2.85, 8 Pd 2.87-2.97
Pd: 0.0749 0.7500 0.6967  1 Zr 2.84, 8 Pd 2.87-2.98, 4 Nb 2.87-2.90
Pd: 0.0922 0.7500 0.1808  2 Nb 2.65-2.69, 2 Zr 2.86, 6 Pd 2.87-2.95
Pd: 0.1077 0.7500 0.9328  3 Zr 2.74-2.91, 2 Nb 2.86, 6 Pd 2.87-2.97
Pd: 0.3923 0.2500 0.4328  3 Zr 2.74-2.91, 2 Nb 2.86, 6 Pd 2.87-2.97
Pd: 0.4078 0.2500 0.6808  2 Nb 2.65-2.69, 2 Zr 2.86, 6 Pd 2.87-2.95
Pd: 0.4251 0.2500 0.1967  1 Zr 2.84, 8 Pd 2.87-2.98, 4 Nb 2.87-2.90
Pd: 0.4414 0.2500 0.9337  1 Nb 2.66, 3 Zr 2.76-2.85, 8 Pd 2.87-2.97
Pd: 0.5586 0.7500 0.0663  1 Nb 2.66, 3 Zr 2.76-2.85, 8 Pd 2.87-2.97
Pd: 0.5749 0.7500 0.8033  1 Zr 2.84, 8 Pd 2.87-2.98, 4 Nb 2.87-2.90
Pd: 0.5922 0.7500 0.3192  2 Nb 2.65-2.69, 2 Zr 2.86, 6 Pd 2.87-2.95
Pd: 0.6077 0.7500 0.5672  3 Zr 2.74-2.91, 2 Nb 2.86, 6 Pd 2.87-2.97
Pd: 0.8923 0.2500 0.0672  3 Zr 2.74-2.91, 2 Nb 2.86, 6 Pd 2.87-2.97
Pd: 0.9078 0.2500 0.8192  2 Nb 2.65-2.69, 2 Zr 2.86, 6 Pd 2.87-2.95
Pd: 0.9251 0.2500 0.3033  1 Zr 2.84, 8 Pd 2.87-2.98, 4 Nb 2.87-2.90
Pd: 0.9414 0.2500 0.5663  1 Nb 2.66, 3 Zr 2.76-2.85, 8 Pd 2.87-2.97

=====

Model x:
Entry from the Alexandria database: a relaxed structure of ZrNbPd4 (PBE-GGA).

Lattice parameters (Å, degrees): 5.3411 5.3411 4.5888 115.08 115.08 95.26
Closest atoms and distances in Å follow each position.
Sites, in units of the cell vectors:
Zr: 0.0000 0.0000 0.0000  2 Nb 2.80, 12 Pd 2.97-3.01
Nb: 0.5000 0.5000 0.5000  2 Zr 2.80, 12 Pd 2.97-3.00
Pd: 0.0856 0.4203 0.7528  5 Pd 2.64-2.83
Pd: 0.4203 0.0856 0.7528  5 Pd 2.64-2.83
Pd: 0.5797 0.9144 0.2472  5 Pd 2.64-2.83
Pd: 0.9144 0.5797 0.2472  5 Pd 2.64-2.83

=====

Sorted by energy, starting with the most stable: model w, model x.